Record 1
Entry from the Alexandria database: a geometry-optimized NaLaO2 structure (GGA-PBEsol).

Computed properties:
The space group is C2/c, No. 15. For the total magnetization, the calculation gives 0.0 μB/cell. The value obtained for the offset from the most stable computed form is 24 meV per atom. The value obtained for the total DFT energy (no corrections) is -111.66 eV for the cell shown.

Cell lengths 6.4244, 6.4248, 7.7261 Å; angles 103.58, 103.58, 115.79 degrees
Sites, in units of the cell vectors:
Na (0.5546, 0.8046, 0.6093)
Na (0.6800, 0.4300, 0.8600)
Na (0.3200, 0.5700, 0.1400)
Na (0.4454, 0.1954, 0.3907)
La (0.1930, 0.9430, 0.8861)
La (0.9319, 0.6819, 0.3639)
La (0.0681, 0.3181, 0.6361)
La (0.8070, 0.0570, 0.1139)
O (0.1456, 0.4485, 0.3734)
O (0.5888, 0.2862, 0.1235)
O (0.0347, 0.8373, 0.1235)
O (0.2722, 0.0751, 0.6266)
O (0.7278, 0.9249, 0.3734)
O (0.9653, 0.1627, 0.8765)
O (0.4112, 0.7138, 0.8765)
O (0.8544, 0.5515, 0.6266)



Record 2
Entry from the Alexandria database: a geometry-optimized NaLaO2 structure (GGA-PBEsol).

Computed properties:
The space group is I4_1/amd, No. 141. For the total magnetization, the calculation gives 0.0 μB/cell. The value obtained for the offset from the most stable computed form is 0 meV per atom. The value obtained for the total DFT energy (no corrections) is -56.02 eV for the cell shown.

Cell lengths 4.7684, 4.7684, 6.6019 Å; angles 111.17, 111.17, 90.00 degrees
Sites, in units of the cell vectors:
Na (0.5000, 0.5000, 0.0000)
Na (0.7500, 0.2500, 0.5000)
O (0.7850, 0.7850, 0.5700)
O (0.4650, 0.9650, 0.9300)
O (0.0350, 0.5350, 0.0700)
O (0.2150, 0.2150, 0.4300)
La (0.0000, 0.0000, 0.0000)
La (0.2500, 0.7500, 0.5000)